Version 1
First-principles (PBE-GGA) data for LaPuAu after structural relaxation, as listed in OQMD.

Unit cell a=4.9354 b=4.9354 c=4.9354 alpha=60.00 beta=60.00 gamma=60.00
Sites, in units of the cell vectors:
La  0.0000  0.0000  0.0000
Pu  0.7500  0.7500  0.7500
Au  0.2500  0.2500  0.2500

Space-group type ... F-43m
Total magnetization ... 2.013 μB/atom


Version 2
First-principles (PBE-GGA) data for LaPuAu after structural relaxation, as listed in OQMD.

Unit cell a=4.9090 b=4.9090 c=4.9090 alpha=60.00 beta=60.00 gamma=60.00
Sites, in units of the cell vectors:
La  0.2500  0.2500  0.2500
Au  0.7500  0.7500  0.7500
Pu  0.0000  0.0000  0.0000

Space-group type ... F-43m
Total magnetization ... 2.004 μB/atom


Name the most stable of them. version 2.


Version 1
First-principles (PBE-GGA) data for Li3Au2 after structural relaxation, as listed in OQMD.

Unit cell a=5.0027 b=5.0027 c=6.7503 alpha=101.33 beta=101.33 gamma=90.74
Sites, in units of the cell vectors:
Li  0.6304  0.3696  0.7500
Li  0.2542  0.1276  0.9832
Li  0.7458  0.8724  0.0168
Li  0.3696  0.6304  0.2500
Li  0.8724  0.7458  0.5168
Li  0.1276  0.2542  0.4832
Au  0.1441  0.5910  0.8646
Au  0.4090  0.8559  0.6354
Au  0.5910  0.1441  0.3646
Au  0.8559  0.4090  0.1354

Space-group type ... C2/c


Version 2
First-principles (PBE-GGA) data for Li3Au2 after structural relaxation, as listed in OQMD.

Unit cell a=7.3633 b=7.3633 c=2.9807 alpha=90.00 beta=90.00 gamma=90.00
Sites, in units of the cell vectors:
Au  0.1514  0.6514  0.0000
Au  0.8486  0.3486  0.0000
Au  0.3486  0.1514  0.0000
Au  0.6514  0.8486  0.0000
Li  0.6461  0.1461  0.5000
Li  0.8539  0.6461  0.5000
Li  0.5000  0.5000  0.0000
Li  0.3539  0.8539  0.5000
Li  0.0000  0.0000  0.0000
Li  0.1461  0.3539  0.5000

Space-group type ... P4/mbm


Name the most stable of them. version 1.


Version 1
First-principles (PBE-GGA) data for LiLuAu2 after structural relaxation, as listed in OQMD.

Unit cell a=4.7338 b=4.7338 c=4.7338 alpha=60.00 beta=60.00 gamma=60.00
Sites, in units of the cell vectors:
Au  0.0000  0.0000  0.0000
Au  0.7500  0.7500  0.7500
Li  0.5000  0.5000  0.5000
Lu  0.2500  0.2500  0.2500

Space-group type ... F-43m
Total magnetization ... 0.001 μB/atom


Version 2
First-principles (PBE-GGA) data for LiLuAu2 after structural relaxation, as listed in OQMD.

Unit cell a=4.8292 b=4.8292 c=8.2112 alpha=90.00 beta=90.00 gamma=120.00
Sites, in units of the cell vectors:
Au  0.3333  0.6667  0.9188
Au  0.6667  0.3333  0.4188
Au  0.3333  0.6667  0.5812
Au  0.6667  0.3333  0.0812
Lu  0.0000  0.0000  0.0000
Lu  0.0000  0.0000  0.5000
Li  0.3333  0.6667  0.2500
Li  0.6667  0.3333  0.7500

Space-group type ... P6_3/mmc
Total magnetization ... 0.002 μB/atom


Version 3
First-principles (PBE-GGA) data for LiLuAu2 after structural relaxation, as listed in OQMD.

Unit cell a=4.6746 b=4.6746 c=8.5042 alpha=90.00 beta=90.00 gamma=120.00
Sites, in units of the cell vectors:
Au  0.3333  0.6667  0.0861
Au  0.6667  0.3333  0.5861
Au  0.6667  0.3333  0.9139
Au  0.3333  0.6667  0.4139
Li  0.0000  0.0000  0.7500
Li  0.0000  0.0000  0.2500
Lu  0.3333  0.6667  0.7500
Lu  0.6667  0.3333  0.2500

Space-group type ... P6_3/mmc
Total magnetization ... 0.001 μB/atom


Name the most stable of them. version 2.


Version 1
First-principles (PBE-GGA) data for LiLuPdAu after structural relaxation, as listed in OQMD.

Unit cell a=4.4346 b=4.4346 c=8.8773 alpha=90.00 beta=90.00 gamma=120.00
Sites, in units of the cell vectors:
Lu  0.6667  0.3333  0.2612
Lu  0.3333  0.6667  0.7388
Li  0.0000  0.0000  0.5000
Li  0.0000  0.0000  0.0000
Pd  0.6667  0.3333  0.5872
Pd  0.3333  0.6667  0.4128
Au  0.3333  0.6667  0.0891
Au  0.6667  0.3333  0.9109

Space-group type ... P-3m1
Total magnetization ... 0.000 μB/atom


Version 2
First-principles (PBE-GGA) data for LiLuPdAu after structural relaxation, as listed in OQMD.

Unit cell a=4.4107 b=4.4107 c=8.9303 alpha=90.00 beta=90.00 gamma=120.00
Sites, in units of the cell vectors:
Au  0.3333  0.6667  0.0866
Au  0.6667  0.3333  0.5866
Pd  0.6667  0.3333  0.9118
Pd  0.3333  0.6667  0.4118
Li  0.0000  0.0000  0.9978
Li  0.0000  0.0000  0.4978
Lu  0.3333  0.6667  0.7538
Lu  0.6667  0.3333  0.2538

Space-group type ... P6_3mc
Total magnetization ... 0.000 μB/atom


Name the most stable of them. version 2.


Version 1
First-principles (PBE-GGA) data for LiLuTlAu after structural relaxation, as listed in OQMD.

Unit cell a=4.8514 b=4.8514 c=4.8514 alpha=60.00 beta=60.00 gamma=60.00
Sites, in units of the cell vectors:
Li  0.0000  0.0000  0.0000
Tl  0.5000  0.5000  0.5000
Au  0.7500  0.7500  0.7500
Lu  0.2500  0.2500  0.2500

Space-group type ... F-43m
Total magnetization ... 0.000 μB/atom


Version 2
First-principles (PBE-GGA) data for LiLuTlAu after structural relaxation, as listed in OQMD.

Unit cell a=4.9168 b=4.9168 c=4.9168 alpha=60.00 beta=60.00 gamma=60.00
Sites, in units of the cell vectors:
Au  0.7500  0.7500  0.7500
Lu  0.0000  0.0000  0.0000
Li  0.5000  0.5000  0.5000
Tl  0.2500  0.2500  0.2500

Space-group type ... F-43m
Total magnetization ... 0.000 μB/atom


Version 3
First-principles (PBE-GGA) data for LiLuTlAu after structural relaxation, as listed in OQMD.

Unit cell a=4.8306 b=4.8306 c=4.8306 alpha=60.00 beta=60.00 gamma=60.00
Sites, in units of the cell vectors:
Lu  0.0000  0.0000  0.0000
Li  0.2500  0.2500  0.2500
Tl  0.5000  0.5000  0.5000
Au  0.7500  0.7500  0.7500

Space-group type ... F-43m
Total magnetization ... 0.000 μB/atom


Name the most stable of them. version 2.


Version 1
First-principles (PBE-GGA) data for LiYLuAu after structural relaxation, as listed in OQMD.

Unit cell a=4.9151 b=4.9151 c=4.9151 alpha=60.00 beta=60.00 gamma=60.00
Sites, in units of the cell vectors:
Y  0.2500  0.2500  0.2500
Lu  0.5000  0.5000  0.5000
Au  0.7500  0.7500  0.7500
Li  0.0000  0.0000  0.0000

Space-group type ... F-43m
Total magnetization ... 0.000 μB/atom


Version 2
First-principles (PBE-GGA) data for LiYLuAu after structural relaxation, as listed in OQMD.

Unit cell a=5.0408 b=5.0408 c=5.0408 alpha=60.00 beta=60.00 gamma=60.00
Sites, in units of the cell vectors:
Au  0.7500  0.7500  0.7500
Lu  0.5000  0.5000  0.5000
Li  0.2500  0.2500  0.2500
Y  0.0000  0.0000  0.0000

Space-group type ... F-43m
Total magnetization ... 0.000 μB/atom


Name the most stable of them. version 2.


Version 1
First-principles (PBE-GGA) data for LiMgAu after structural relaxation, as listed in OQMD.

Unit cell a=4.8033 b=4.9530 c=4.9530 alpha=59.93 beta=90.00 gamma=90.00
Sites, in units of the cell vectors:
Li  0.2500  0.1297  0.5171
Li  0.7500  0.5171  0.1297
Mg  0.2500  0.8051  0.2068
Mg  0.7500  0.2068  0.8051
Au  0.2500  0.4751  0.8661
Au  0.7500  0.8661  0.4751

Space-group type ... Ama2


Version 2
First-principles (PBE-GGA) data for LiMgAu after structural relaxation, as listed in OQMD.

Unit cell a=4.2280 b=5.9531 c=5.9531 alpha=136.52 beta=90.00 gamma=90.00
Sites, in units of the cell vectors:
Au  0.0000  0.5846  0.9125
Au  0.0000  0.9125  0.5846
Li  0.5000  0.4351  0.0688
Li  0.5000  0.0688  0.4351
Mg  0.5000  0.7496  0.7496
Mg  0.0000  0.2495  0.2495

Space-group type ... Amm2


Version 3
First-principles (PBE-GGA) data for LiMgAu after structural relaxation, as listed in OQMD.

Unit cell a=4.7224 b=4.7822 c=5.1258 alpha=90.00 beta=117.40 gamma=90.00
Sites, in units of the cell vectors:
Mg  0.2274  0.2500  0.0265
Mg  0.7726  0.7500  0.9735
Li  0.8744  0.2500  0.3629
Li  0.1256  0.7500  0.6371
Au  0.4501  0.7500  0.3110
Au  0.5499  0.2500  0.6890

Space-group type ... P2_1/m


Name the most stable of them. version 3.


Version 1
First-principles (PBE-GGA) data for LiMoPdAu after structural relaxation, as listed in OQMD.

Unit cell a=4.4547 b=4.4547 c=4.4547 alpha=60.00 beta=60.00 gamma=60.00
Sites, in units of the cell vectors:
Li  0.7500  0.7500  0.7500
Au  0.0000  0.0000  0.0000
Mo  0.2500  0.2500  0.2500
Pd  0.5000  0.5000  0.5000

Space-group type ... F-43m
Total magnetization ... 0.001 μB/atom


Version 2
First-principles (PBE-GGA) data for LiMoPdAu after structural relaxation, as listed in OQMD.

Unit cell a=4.4147 b=4.4147 c=4.4147 alpha=60.00 beta=60.00 gamma=60.00
Sites, in units of the cell vectors:
Mo  0.0000  0.0000  0.0000
Au  0.2500  0.2500  0.2500
Pd  0.5000  0.5000  0.5000
Li  0.7500  0.7500  0.7500

Space-group type ... F-43m
Total magnetization ... 0.001 μB/atom


Name the most stable of them. version 1.